Entry from the Alexandria database: a geometry-optimized BaTl2Cd2 structure (GGA-PBE).

Cell and atoms, written as POSCAR:
```
BaTl2Cd2
1.0
9.0432 0.0000 0.0000
0.0000 9.0432 0.0000
0.0000 0.0000 3.7941
Ba Tl Cd
2 4 4
Direct
0.0000 0.0000 0.0000
0.5000 0.5000 0.0000
0.1747 0.3253 0.5000
0.3253 0.8253 0.5000
0.6747 0.1747 0.5000
0.8253 0.6747 0.5000
0.1192 0.6192 0.0000
0.3808 0.1192 0.0000
0.6192 0.8808 0.0000
0.8808 0.3808 0.0000
```

Values from the calculation:
Space group = No. 127

Entry from the Alexandria database: a geometry-optimized Ba2Tl3Cd structure (GGA-PBE).

Cell and atoms, written as POSCAR:
```
Ba2Tl3Cd
1.0
0.0000 5.3571 9.2983
4.2528 0.0000 9.2983
4.2528 5.3571 0.0000
Ba Tl Cd
4 6 2
Direct
0.2490 0.7510 0.7510
0.2500 0.2500 0.2500
0.7500 0.7500 0.7500
0.7510 0.2490 0.2490
0.1621 0.6681 0.3319
0.3313 0.3313 0.6687
0.3319 0.8379 0.1621
0.6681 0.1621 0.8379
0.6687 0.6687 0.3313
0.8379 0.3319 0.6681
0.1674 0.1674 0.8326
0.8326 0.8326 0.1674
```

Values from the calculation:
Space group = No. 69

Entry from the Alexandria database: a geometry-optimized BaTlCd2 structure (GGA-PBE).

Cell and atoms, written as POSCAR:
```
BaTlCd2
1.0
4.9083 0.0000 0.0000
0.0000 5.0346 0.0000
0.0000 0.0000 5.2903
Ba Tl Cd
1 1 2
Direct
0.0000 0.0000 0.0000
0.0000 0.5000 0.5000
0.5000 0.0000 0.5000
0.5000 0.5000 0.0000
```

Values from the calculation:
Space group = No. 47

Entry from the Alexandria database: a geometry-optimized Ba3Tl9Cd2 structure (GGA-PBE).

Cell and atoms, written as POSCAR:
```
Ba3Tl9Cd2
1.0
-2.5851 5.9047 7.5320
2.5851 -5.9047 7.5320
2.5851 5.9047 -7.5320
Ba Tl Cd
3 9 2
Direct
0.0000 0.0000 0.0000
0.3087 0.3087 0.0000
0.6913 0.6913 0.0000
0.0235 0.6542 0.3692
0.1344 0.8554 0.2790
0.2850 0.6542 0.6308
0.4235 0.1446 0.2790
0.5000 0.0000 0.5000
0.5765 0.8554 0.7210
0.7150 0.3458 0.3692
0.8656 0.1446 0.7210
0.9765 0.3458 0.6308
0.3106 0.5000 0.8106
0.6894 0.5000 0.1894
```

Values from the calculation:
Space group = No. 71

Entry from the Alexandria database: a geometry-optimized BaTlCd2 structure (GGA-PBE).

Cell and atoms, written as POSCAR:
```
BaTlCd2
1.0
0.0000 3.9595 3.9595
3.9595 0.0000 3.9595
3.9595 3.9595 0.0000
Ba Tl Cd
1 1 2
Direct
0.0000 0.0000 0.0000
0.5000 0.5000 0.5000
0.2500 0.2500 0.2500
0.7500 0.7500 0.7500
```

Values from the calculation:
Space group = No. 225

Entry from the Alexandria database: a geometry-optimized Ba2Tl5Cd structure (GGA-PBE).

Cell and atoms, written as POSCAR:
```
Ba2Tl5Cd
1.0
-3.8393 3.8393 4.6091
3.8393 -3.8393 4.6091
3.8393 3.8393 -4.6091
Ba Tl Cd
2 5 1
Direct
0.0000 0.5000 0.5000
0.5000 0.0000 0.5000
0.0782 0.0782 0.0000
0.5386 0.5386 0.5741
0.5386 0.9646 0.0000
0.9646 0.5386 0.0000
0.9646 0.9646 0.4259
0.4527 0.4527 0.0000
```

Values from the calculation:
Space group = No. 107

Entry from the Alexandria database: a geometry-optimized Ba12Tl6Cd structure (GGA-PBE).

Cell and atoms, written as POSCAR:
```
Ba12Tl6Cd
1.0
7.8815 4.5504 4.7487
-7.8815 4.5504 4.7487
0.0000 -9.1008 4.7487
Ba Tl Cd
12 6 1
Direct
0.0618 0.6753 0.9370
0.0630 0.9382 0.3247
0.1760 0.4290 0.5756
0.3247 0.0630 0.9382
0.4244 0.8240 0.5710
0.4290 0.5756 0.1760
0.5710 0.4244 0.8240
0.5756 0.1760 0.4290
0.6753 0.9370 0.0618
0.8240 0.5710 0.4244
0.9370 0.0618 0.6753
0.9382 0.3247 0.0630
0.1376 0.6136 0.2991
0.2991 0.1376 0.6136
0.3864 0.7009 0.8624
0.6136 0.2991 0.1376
0.7009 0.8624 0.3864
0.8624 0.3864 0.7009
0.0000 0.0000 0.0000
```

Values from the calculation:
Space group = No. 148

Entry from the Alexandria database: a geometry-optimized Ba3Tl8Cd3 structure (GGA-PBE).

Cell and atoms, written as POSCAR:
```
Ba3Tl8Cd3
1.0
-2.5991 5.7580 7.5056
2.5991 -5.7580 7.5056
2.5991 5.7580 -7.5056
Ba Tl Cd
3 8 3
Direct
0.0000 0.0000 0.0000
0.2984 0.2984 0.0000
0.7016 0.7016 0.0000
0.0153 0.6522 0.3630
0.1471 0.8598 0.2873
0.2892 0.6522 0.6370
0.4274 0.1402 0.2873
0.5726 0.8598 0.7127
0.7108 0.3478 0.3630
0.8529 0.1402 0.7127
0.9847 0.3478 0.6370
0.3315 0.5000 0.8315
0.5000 0.0000 0.5000
0.6685 0.5000 0.1685
```

Values from the calculation:
Space group = No. 71

Entry from the Alexandria database: a geometry-optimized BaTlCd structure (GGA-PBE).

Cell and atoms, written as POSCAR:
```
BaTlCd
1.0
0.0000 3.8559 3.8559
3.8559 0.0000 3.8559
3.8559 3.8559 0.0000
Ba Tl Cd
1 1 1
Direct
0.0000 0.0000 0.0000
0.5000 0.5000 0.5000
0.7500 0.7500 0.7500
```

Values from the calculation:
Space group = No. 216

Entry from the Alexandria database: a geometry-optimized BaTlCd11 structure (GGA-PBE).

Cell and atoms, written as POSCAR:
```
BaTlCd11
1.0
3.1259 -7.2332 0.0000
3.1259 7.2332 0.0000
-3.0663 0.0000 7.2489
Ba Tl Cd
1 1 11
Direct
0.0000 0.0000 0.0000
0.0000 0.0000 0.5000
0.0000 0.5000 0.0000
0.0141 0.3763 0.3527
0.2911 0.5109 0.7857
0.3763 0.0141 0.3527
0.4891 0.7089 0.2143
0.5000 0.0000 0.0000
0.5000 0.5000 0.5000
0.5109 0.2911 0.7857
0.6237 0.9859 0.6473
0.7089 0.4891 0.2143
0.9859 0.6237 0.6473
```

Values from the calculation:
Space group = No. 12

Entry from the Alexandria database: a geometry-optimized Ba2TlCd structure (GGA-PBE).

Cell and atoms, written as POSCAR:
```
Ba2TlCd
1.0
-2.6369 2.6369 5.3724
2.6369 -2.6369 5.3724
2.6369 2.6369 -5.3724
Ba Tl Cd
2 1 1
Direct
0.0000 0.0000 0.0000
0.7500 0.2500 0.5000
0.5000 0.5000 0.0000
0.2500 0.7500 0.5000
```

Values from the calculation:
Space group = No. 119

Entry from the Alexandria database: a geometry-optimized BaTl3Cd8 structure (GGA-PBE).

Cell and atoms, written as POSCAR:
```
BaTl3Cd8
1.0
3.0733 1.7744 10.0982
-3.0733 1.7744 10.0982
0.0000 -3.5487 10.0982
Ba Tl Cd
1 3 8
Direct
0.0000 0.0000 0.0000
0.1269 0.1269 0.1269
0.5009 0.5009 0.5009
0.6254 0.6254 0.6254
0.0625 0.0625 0.5576
0.0625 0.5576 0.0625
0.0682 0.5644 0.5644
0.3127 0.3127 0.3127
0.5576 0.0625 0.0625
0.5644 0.0682 0.5644
0.5644 0.5644 0.0682
0.8132 0.8132 0.8132
```

Values from the calculation:
Space group = No. 160

Number 1: formation energy from the elements -0.127 eV/atom. Number 2: formation energy from the elements -0.350 eV/atom. Number 3: formation energy from the elements -0.168 eV/atom. Number 4: formation energy from the elements -0.257 eV/atom. Number 5: formation energy from the elements -0.239 eV/atom. Number 6: formation energy from the elements -0.237 eV/atom. Number 7: formation energy from the elements -0.144 eV/atom. Number 8: formation energy from the elements -0.253 eV/atom. Number 9: formation energy from the elements -0.190 eV/atom. Number 10: formation energy from the elements -0.108 eV/atom. Number 11: formation energy from the elements -0.219 eV/atom. Number 12: formation energy from the elements -0.091 eV/atom.